(1)
Below is BaHoSc after structural relaxation, with properties calculated at the GGA-PBE level.

The calculation puts the magnetization at 0.1 Bohr magnetons per cell. As for the energy above the lowest structure with this stoichiometry: 199.7 meV per atom.

The space group is F-43m (No. 216) and the conventional cell measures 7.594, 7.594 and 7.594 Å, with angles of 90.00, 90.00 and 90.00 degrees. The distinct sites, in fractional coordinates, are Ba at (0.000, 0.000, 0.000), Ho at (0.250, 0.250, 0.750) and Sc at (0.250, 0.250, 0.250).

=====

(2)
Below is Sm2In after structural relaxation, with properties calculated at the GGA-PBE level.

The calculation puts the magnetization at 0.0 Bohr magnetons per cell. The calculation puts the final energy at -39.44 eV per cell.

The space group is P-62m (No. 189) and the conventional cell measures 9.1138, 9.1138 and 3.7683 Å, with angles of 90.00, 90.00 and 120.00 degrees. The distinct sites, in fractional coordinates, are Sm at (0.0000, 0.3807, 0.0000), Sm at (0.0000, 0.7104, 0.5000), In at (0.0000, 0.0000, 0.0000) and In at (0.3333, 0.6667, 0.5000).

=====

(3)
Below is BeZnPt2 after structural relaxation, with properties calculated at the GGA-PBE level.

The calculation puts the magnetization at 0.0 Bohr magnetons per cell. The calculation puts the final energy at -71.65 eV per cell.

The space group is F-43m (No. 216) and the conventional cell measures 6.085, 6.085 and 6.085 Å, with angles of 90.00, 90.00 and 90.00 degrees. The distinct sites, in fractional coordinates, are Be at (0.000, 0.000, 0.000), Zn at (0.250, 0.250, 0.750), Pt at (0.000, 0.000, 0.500) and Pt at (0.250, 0.250, 0.250).

=====

(4)
Below is Mg2TaBi after structural relaxation, with properties calculated at the GGA-PBE level.

The calculation puts the magnetization at 1.8 Bohr magnetons per cell. The calculation puts the final energy at -66.98 eV per cell.

The space group is F-43m (No. 216) and the conventional cell measures 7.055, 7.055 and 7.055 Å, with angles of 90.00, 90.00 and 90.00 degrees. The distinct sites, in fractional coordinates, are Mg at (0.000, 0.000, 0.000), Mg at (0.250, 0.250, 0.250), Ta at (0.250, 0.250, 0.750) and Bi at (0.000, 0.000, 0.500).

=====

Question: magnetization of number 4 (Mg2TaBi)?
Answer: 1.8 Bohr magnetons per cell